First-principles (PBE) data for YTcRu2 after structural relaxation, as listed in the Alexandria database.

As for the energy above the lowest structure with this stoichiometry: 0.109 eV per atom. The space-group type is Imm2 (44). The value obtained for the formation energy is 18.7 kJ per mole of atoms.

a = 5.681 Å, b = 5.681 Å, c = 5.681 Å
α = 149.79°, β = 131.86°, γ = 57.89°
Element x y z (fractional)
1 Y 0.000 0.000 0.000
2 Tc 0.718 0.218 0.500
3 Ru 0.276 0.776 0.500
4 Ru 0.500 0.500 0.000

First-principles (PBE) data for Zn2GaFeGe after structural relaxation, as listed in the Alexandria database.

The space-group type is P4/mmm (123). The value obtained for the formation energy is 60.1 kJ per mole of atoms.

a = 4.708 Å, b = 4.708 Å, c = 4.584 Å
α = 90.00°, β = 90.00°, γ = 90.00°
Element x y z (fractional)
1 Zn 0.000 0.500 0.000
2 Zn 0.500 0.000 0.000
3 Ga 0.000 0.000 0.500
4 Fe 0.500 0.500 0.500
5 Ge 0.500 0.500 0.000